First-principles (PBE-GGA) data for a relaxed structure of Pr10Tl3Sb3, as listed in the Alexandria database.

calculated total energy: -77.26 eV/f.u.
space group: P-62m, No. 189
E_form (uncorrected): -10.00 eV/f.u.

POSCAR file:
```
Pr10Tl3Sb3
1.0
6.813 0.000 0.000
0.000 8.139 -4.699
0.000 0.000 9.398
Sb Pr Tl
3 10 3
direct
0.000 0.389 0.389
0.000 0.611 0.000
0.000 0.000 0.611
0.000 0.000 0.243
0.500 0.242 0.242
0.000 0.757 0.757
0.757 0.667 0.333
0.243 0.333 0.667
0.500 0.000 0.758
0.000 0.243 0.000
0.757 0.333 0.667
0.243 0.667 0.333
0.500 0.758 0.000
0.500 0.605 0.605
0.500 0.000 0.395
0.500 0.395 0.000
```

---

First-principles (PBE-GGA) data for a relaxed structure of Pm4BiPS2, as listed in the Alexandria database.

calculated total energy: -49.33 eV/f.u.
space group: P2/m, No. 10
E_form (uncorrected): -12.78 eV/f.u.

POSCAR file:
```
Pm4BiPS2
1.0
-1.326 3.854 -0.987
-6.741 -1.864 1.778
-1.146 1.436 7.144
Pm Bi S P
4 1 2 1
direct
0.000 0.767 0.724
0.500 0.247 0.734
0.000 0.233 0.276
0.500 0.753 0.266
0.500 0.500 0.000
0.000 0.000 0.000
0.500 0.000 0.500
0.000 0.500 0.500
```

---

First-principles (PBE-GGA) data for a relaxed structure of TcAgHgBr6, as listed in the Alexandria database.

calculated total energy: -26.37 eV/f.u.
space group: P-31c, No. 163
E_form (uncorrected): -2.82 eV/f.u.

POSCAR file:
```
TcAgHgBr6
1.0
7.076 0.000 0.000
-3.538 6.128 0.000
0.000 0.000 12.536
Br Tc Ag Hg
12 2 2 2
direct
0.618 0.651 0.633
0.382 0.349 0.367
0.651 0.618 0.133
0.033 0.651 0.867
0.967 0.349 0.133
0.382 0.033 0.133
0.618 0.967 0.867
0.349 0.382 0.867
0.033 0.382 0.633
0.967 0.618 0.367
0.651 0.033 0.367
0.349 0.967 0.633
0.333 0.667 0.750
0.667 0.333 0.250
0.667 0.333 0.750
0.333 0.667 0.250
0.000 0.000 0.500
0.000 0.000 0.000
```

---

Q: What is the E_form (uncorrected) in the first record?
A: -10.00 eV/f.u.

---

Q: Which of these has the lowest calculated total energy?
A: Pr10Tl3Sb3